# 1
DFT (PBE+U) results for crystalline CuMoO4 at its relaxed geometry.

Structure (CIF):
```
data_CuMoO4
_chemical_formula_sum 'Cu1 Mo1 O4'
_cell_length_a 5.8165
_cell_length_b 5.8165
_cell_length_c 5.8165
_cell_angle_alpha 141.54
_cell_angle_beta 141.54
_cell_angle_gamma 55.53
_space_group_name_H-M_alt 'P 1'
_space_group_IT_number 1
loop_
_space_group_symop_operation_xyz
'x,y,z'
loop_
_atom_site_label
_atom_site_fract_x
_atom_site_fract_y
_atom_site_fract_z
_atom_site_occupancy
Cu1 0.0000 0.0000 0.0000 1
Mo1 0.7500 0.2500 0.5000 1
O1 0.2374 0.2374 0.0000 1
O2 0.5600 0.0600 0.5000 1
O3 0.7626 0.7626 0.0000 1
O4 0.9400 0.4400 0.5000 1
```

Calculated values
space-group type: No. 119
energy above the lowest structure with this stoichiometry: 0.111 eV per atom


# 2
DFT (PBE+U) results for crystalline Cu6Mo5O18 at its relaxed geometry.

Structure (CIF):
```
data_Cu6Mo5O18
_chemical_formula_sum 'Cu12 Mo10 O36'
_cell_length_a 10.0139
_cell_length_b 10.0139
_cell_length_c 14.9672
_cell_angle_alpha 125.68
_cell_angle_beta 125.68
_cell_angle_gamma 36.75
_space_group_name_H-M_alt 'P 1'
_space_group_IT_number 1
loop_
_space_group_symop_operation_xyz
'x,y,z'
loop_
_atom_site_label
_atom_site_fract_x
_atom_site_fract_y
_atom_site_fract_z
_atom_site_occupancy
Cu1 0.0126 0.7498 0.8391 1
Cu2 0.1072 0.2107 0.9122 1
Cu3 0.1646 0.4098 0.1496 1
Cu4 0.2107 0.1072 0.4122 1
Cu5 0.2502 0.9874 0.6609 1
Cu6 0.4098 0.1646 0.6496 1
Cu7 0.5902 0.8354 0.3504 1
Cu8 0.7498 0.0126 0.3391 1
Cu9 0.7893 0.8928 0.5878 1
Cu10 0.8354 0.5902 0.8504 1
Cu11 0.8928 0.7893 0.0878 1
Cu12 0.9874 0.2502 0.1609 1
Mo1 0.1908 0.4512 0.4092 1
Mo2 0.3182 0.6818 0.7500 1
Mo3 0.3298 0.6589 0.4046 1
Mo4 0.3411 0.6702 0.0954 1
Mo5 0.4512 0.1908 0.9092 1
Mo6 0.5488 0.8092 0.0908 1
Mo7 0.6589 0.3298 0.9046 1
Mo8 0.6702 0.3411 0.5954 1
Mo9 0.6818 0.3182 0.2500 1
Mo10 0.8092 0.5488 0.5908 1
O1 0.0604 0.7761 0.7348 1
O2 0.0801 0.3577 0.5626 1
O3 0.0808 0.7471 0.4062 1
O4 0.0806 0.7912 0.0908 1
O5 0.1207 0.3849 0.2552 1
O6 0.1748 0.3531 0.9234 1
O7 0.2088 0.9194 0.4092 1
O8 0.2239 0.9396 0.7652 1
O9 0.2529 0.9192 0.0938 1
O10 0.3314 0.5078 0.9277 1
O11 0.3320 0.5379 0.5897 1
O12 0.3398 0.5013 0.2517 1
O13 0.3531 0.1748 0.4234 1
O14 0.3577 0.0801 0.0626 1
O15 0.3849 0.1207 0.7552 1
O16 0.4621 0.6680 0.9103 1
O17 0.4922 0.6686 0.5723 1
O18 0.4987 0.6602 0.2483 1
O19 0.5013 0.3398 0.7517 1
O20 0.5078 0.3314 0.4277 1
O21 0.5379 0.3320 0.0897 1
O22 0.6151 0.8793 0.2448 1
O23 0.6423 0.9199 0.9374 1
O24 0.6469 0.8252 0.5766 1
O25 0.6602 0.4987 0.7483 1
O26 0.6680 0.4621 0.4103 1
O27 0.6686 0.4922 0.0723 1
O28 0.7471 0.0808 0.9062 1
O29 0.7761 0.0604 0.2348 1
O30 0.7912 0.0806 0.5908 1
O31 0.8252 0.6469 0.0766 1
O32 0.8793 0.6151 0.7448 1
O33 0.9194 0.2088 0.9092 1
O34 0.9192 0.2529 0.5938 1
O35 0.9199 0.6423 0.4374 1
O36 0.9396 0.2239 0.2652 1
```

Calculated values
space-group type: No. 15
final energy: -366.7 eV per cell


# 3
DFT (PBE+U) results for crystalline Cu5Mo3O12 at its relaxed geometry.

Structure (CIF):
```
data_Cu5Mo3O12
_chemical_formula_sum 'Cu20 Mo12 O48'
_cell_length_a 10.3385
_cell_length_b 10.3385
_cell_length_c 10.3385
_cell_angle_alpha 109.47
_cell_angle_beta 109.47
_cell_angle_gamma 109.47
_space_group_name_H-M_alt 'P 1'
_space_group_IT_number 1
loop_
_space_group_symop_operation_xyz
'x,y,z'
loop_
_atom_site_label
_atom_site_fract_x
_atom_site_fract_y
_atom_site_fract_z
_atom_site_occupancy
Cu1 0.0000 0.0000 0.0000 1
Cu2 0.0000 0.0000 0.5000 1
Cu3 0.0000 0.5000 0.0000 1
Cu4 0.0000 0.5000 0.5000 1
Cu5 0.1250 0.7500 0.8750 1
Cu6 0.1250 0.8750 0.2500 1
Cu7 0.2500 0.1250 0.8750 1
Cu8 0.2500 0.6250 0.3750 1
Cu9 0.3750 0.2500 0.6250 1
Cu10 0.3750 0.6250 0.7500 1
Cu11 0.5000 0.0000 0.0000 1
Cu12 0.5000 0.0000 0.5000 1
Cu13 0.5000 0.5000 0.0000 1
Cu14 0.5000 0.5000 0.5000 1
Cu15 0.6250 0.3750 0.2500 1
Cu16 0.6250 0.7500 0.3750 1
Cu17 0.7500 0.3750 0.6250 1
Cu18 0.7500 0.8750 0.1250 1
Cu19 0.8750 0.1250 0.7500 1
Cu20 0.8750 0.2500 0.1250 1
Mo1 0.1250 0.2500 0.3750 1
Mo2 0.1250 0.3750 0.7500 1
Mo3 0.2500 0.3750 0.1250 1
Mo4 0.2500 0.8750 0.6250 1
Mo5 0.3750 0.1250 0.2500 1
Mo6 0.3750 0.7500 0.1250 1
Mo7 0.6250 0.2500 0.8750 1
Mo8 0.6250 0.8750 0.7500 1
Mo9 0.7500 0.1250 0.3750 1
Mo10 0.7500 0.6250 0.8750 1
Mo11 0.8750 0.6250 0.2500 1
Mo12 0.8750 0.7500 0.6250 1
O1 0.0476 0.2183 0.1337 1
O2 0.0476 0.3293 0.9139 1
O3 0.0846 0.7183 0.6707 1
O4 0.0846 0.8663 0.4139 1
O5 0.0861 0.6337 0.4154 1
O6 0.0861 0.9524 0.6707 1
O7 0.1337 0.0476 0.2183 1
O8 0.1337 0.5861 0.9154 1
O9 0.1707 0.2183 0.5846 1
O10 0.1707 0.4524 0.5861 1
O11 0.2183 0.1337 0.0476 1
O12 0.2183 0.5846 0.1707 1
O13 0.2817 0.3293 0.9154 1
O14 0.2817 0.4524 0.3663 1
O15 0.3293 0.9139 0.0476 1
O16 0.3293 0.9154 0.2817 1
O17 0.3663 0.2817 0.4524 1
O18 0.3663 0.5846 0.9139 1
O19 0.4139 0.0846 0.8663 1
O20 0.4139 0.8293 0.5476 1
O21 0.4154 0.0861 0.6337 1
O22 0.4154 0.8293 0.7817 1
O23 0.4524 0.3663 0.2817 1
O24 0.4524 0.5861 0.1707 1
O25 0.5476 0.4139 0.8293 1
O26 0.5476 0.6337 0.7183 1
O27 0.5846 0.1707 0.2183 1
O28 0.5846 0.9139 0.3663 1
O29 0.5861 0.1707 0.4524 1
O30 0.5861 0.9154 0.1337 1
O31 0.6337 0.4154 0.0861 1
O32 0.6337 0.7183 0.5476 1
O33 0.6707 0.0846 0.7183 1
O34 0.6707 0.0861 0.9524 1
O35 0.7183 0.5476 0.6337 1
O36 0.7183 0.6707 0.0846 1
O37 0.7817 0.4154 0.8293 1
O38 0.7817 0.8663 0.9524 1
O39 0.8293 0.5476 0.4139 1
O40 0.8293 0.7817 0.4154 1
O41 0.8663 0.4139 0.0846 1
O42 0.8663 0.9524 0.7817 1
O43 0.9139 0.0476 0.3293 1
O44 0.9139 0.3663 0.5846 1
O45 0.9154 0.1337 0.5861 1
O46 0.9154 0.2817 0.3293 1
O47 0.9524 0.6707 0.0861 1
O48 0.9524 0.7817 0.8663 1
```

Calculated values
space-group type: No. 230
final energy: -474.9 eV per cell


# 4
DFT (PBE+U) results for crystalline CuMoO2 at its relaxed geometry.

Structure (CIF):
```
data_CuMoO2
_chemical_formula_sum 'Cu1 Mo1 O2'
_cell_length_a 6.3851
_cell_length_b 6.3851
_cell_length_c 6.3851
_cell_angle_alpha 26.93
_cell_angle_beta 26.93
_cell_angle_gamma 26.93
_space_group_name_H-M_alt 'P 1'
_space_group_IT_number 1
loop_
_space_group_symop_operation_xyz
'x,y,z'
loop_
_atom_site_label
_atom_site_fract_x
_atom_site_fract_y
_atom_site_fract_z
_atom_site_occupancy
Cu1 0.0000 0.0000 0.0000 1
Mo1 0.5000 0.5000 0.5000 1
O1 0.3981 0.3981 0.3981 1
O2 0.6019 0.6019 0.6019 1
```

Calculated values
space-group type: No. 166
energy above the lowest structure with this stoichiometry: 0.459 eV per atom


# 5
DFT (PBE+U) results for crystalline CuMoO2 at its relaxed geometry.

Structure (CIF):
```
data_CuMoO2
_chemical_formula_sum 'Cu2 Mo2 O4'
_cell_length_a 6.4939
_cell_length_b 6.4939
_cell_length_c 6.4939
_cell_angle_alpha 141.08
_cell_angle_beta 141.08
_cell_angle_gamma 56.21
_space_group_name_H-M_alt 'P 1'
_space_group_IT_number 1
loop_
_space_group_symop_operation_xyz
'x,y,z'
loop_
_atom_site_label
_atom_site_fract_x
_atom_site_fract_y
_atom_site_fract_z
_atom_site_occupancy
Cu1 0.0000 0.0000 0.0000 1
Cu2 0.7500 0.2500 0.5000 1
Mo1 0.2500 0.7500 0.5000 1
Mo2 0.5000 0.5000 0.0000 1
O1 0.1311 0.6250 0.0061 1
O2 0.3750 0.3811 0.5061 1
O3 0.6189 0.1250 0.9939 1
O4 0.8750 0.8689 0.4939 1
```

Calculated values
space-group type: No. 122
energy above the lowest structure with this stoichiometry: 0.160 eV per atom


# 6
DFT (PBE+U) results for crystalline CuMoO4 at its relaxed geometry.

Structure (CIF):
```
data_CuMoO4
_chemical_formula_sum 'Cu2 Mo2 O8'
_cell_length_a 4.8200
_cell_length_b 4.9458
_cell_length_c 6.0612
_cell_angle_alpha 86.86
_cell_angle_beta 79.54
_cell_angle_gamma 85.58
_space_group_name_H-M_alt 'P 1'
_space_group_IT_number 1
loop_
_space_group_symop_operation_xyz
'x,y,z'
loop_
_atom_site_label
_atom_site_fract_x
_atom_site_fract_y
_atom_site_fract_z
_atom_site_occupancy
Cu1 0.0098 0.2542 0.3453 1
Cu2 0.9902 0.7458 0.6547 1
Mo1 0.4728 0.2571 0.8295 1
Mo2 0.5272 0.7429 0.1705 1
O1 0.2262 0.9050 0.3805 1
O2 0.2548 0.4354 0.6512 1
O3 0.2830 0.9569 0.9158 1
O4 0.2880 0.4285 0.1234 1
O5 0.7120 0.5715 0.8766 1
O6 0.7170 0.0431 0.0842 1
O7 0.7452 0.5646 0.3488 1
O8 0.7738 0.0950 0.6195 1
```

Calculated values
space-group type: No. 2
energy above the lowest structure with this stoichiometry: 0.009 eV per atom


# 7
DFT (PBE+U) results for crystalline CuMoO4 at its relaxed geometry.

Structure (CIF):
```
data_CuMoO4
_chemical_formula_sum 'Cu2 Mo2 O8'
_cell_length_a 3.8537
_cell_length_b 6.6796
_cell_length_c 6.8555
_cell_angle_alpha 90.00
_cell_angle_beta 90.06
_cell_angle_gamma 90.00
_space_group_name_H-M_alt 'P 1'
_space_group_IT_number 1
loop_
_space_group_symop_operation_xyz
'x,y,z'
loop_
_atom_site_label
_atom_site_fract_x
_atom_site_fract_y
_atom_site_fract_z
_atom_site_occupancy
Cu1 0.2503 0.2500 0.2326 1
Cu2 0.7497 0.7500 0.7674 1
Mo1 0.2507 0.7500 0.1457 1
Mo2 0.7493 0.2500 0.8543 1
O1 0.2497 0.2500 0.8930 1
O2 0.2498 0.7500 0.8614 1
O3 0.2505 0.5283 0.2929 1
O4 0.2505 0.9717 0.2929 1
O5 0.7495 0.0283 0.7071 1
O6 0.7495 0.4717 0.7071 1
O7 0.7502 0.2500 0.1386 1
O8 0.7503 0.7500 0.1070 1
```

Calculated values
space-group type: No. 11
energy above the lowest structure with this stoichiometry: 0.066 eV per atom


# 8
DFT (PBE+U) results for crystalline CuMoO3 at its relaxed geometry.

Structure (CIF):
```
data_CuMoO3
_chemical_formula_sum 'Cu1 Mo1 O3'
_cell_length_a 3.8832
_cell_length_b 3.8832
_cell_length_c 3.8832
_cell_angle_alpha 90.00
_cell_angle_beta 90.00
_cell_angle_gamma 90.00
_space_group_name_H-M_alt 'P 1'
_space_group_IT_number 1
loop_
_space_group_symop_operation_xyz
'x,y,z'
loop_
_atom_site_label
_atom_site_fract_x
_atom_site_fract_y
_atom_site_fract_z
_atom_site_occupancy
Cu1 0.0000 0.0000 0.0000 1
Mo1 0.5000 0.5000 0.5000 1
O1 0.0000 0.5000 0.5000 1
O2 0.5000 0.0000 0.5000 1
O3 0.5000 0.5000 0.0000 1
```

Calculated values
space-group type: No. 221
final energy: -30.4 eV per cell